# Sc3MnAg3Se8

A relaxed structure of Sc3MnAg3Se8 (PBE, the Alexandria database).

Structure (POSCAR):
```
Sc3MnAg3Se8
1.0
6.665 -3.847 0.000
6.665 3.847 0.000
-4.463 0.000 6.782
Sc Mn Ag Se
3 1 3 8
direct
0.000 0.000 0.000
0.000 0.500 0.000
0.500 0.000 0.000
0.500 0.500 0.000
0.000 0.500 0.500
0.500 0.000 0.500
0.500 0.500 0.500
0.243 0.243 0.227
0.262 0.729 0.218
0.271 0.271 0.782
0.271 0.738 0.782
0.729 0.262 0.218
0.729 0.729 0.218
0.738 0.271 0.782
0.757 0.757 0.773
```

Results
Density of states at the Fermi level, states/eV per cell: 1.52
Final energy, eV per cell: -78.1
E_form (uncorrected), meV per atom: -902